(1)
KH2F3 | Alexandria via LeMat-Bulk | PBE-GGA | relaxed; polymorph energy (0 for the lowest one) = 0.087 eV/atom; total moment = 0.35 μB per cell
1.0
-3.7241 3.7241 6.7109
3.7241 -3.7241 6.7109
3.7241 3.7241 -6.7109
K H F
4 8 12
direct
0.0000 0.0000 0.0000
0.5000 0.0000 0.0000
0.5000 0.0000 0.5000
0.5000 0.5000 0.5000
0.0886 0.0740 0.7221
0.1335 0.4114 0.4854
0.1481 0.6335 0.2221
0.4260 0.6481 0.0146
0.5740 0.3519 0.9854
0.8519 0.3665 0.7779
0.8665 0.5886 0.5146
0.9114 0.9260 0.2779
0.0000 0.0000 0.5000
0.0000 0.5000 0.0000
0.0000 0.5000 0.5000
0.1701 0.1266 0.9116
0.2415 0.3299 0.4565
0.2850 0.7415 0.4116
0.3734 0.7850 0.0435
0.5000 0.5000 0.0000
0.6266 0.2150 0.9565
0.7150 0.2585 0.5884
0.7585 0.6701 0.5435
0.8299 0.8734 0.0884

=====

(2)
Y4Mg5Ag | Alexandria via LeMat-Bulk | PBE-GGA | relaxed; total moment = 0.00 μB per cell; ΔH_f (0 K) = -0.12 eV/atom
1.0
7.8031 -2.6168 0.0000
7.8031 2.6168 0.0000
-1.8001 0.0000 6.3308
Y Mg Ag
4 5 1
direct
0.0968 0.0968 0.4002
0.3092 0.3092 0.2049
0.6908 0.6908 0.7951
0.9032 0.9032 0.5998
0.1005 0.1005 0.9220
0.3024 0.3024 0.7092
0.5000 0.5000 0.0000
0.6976 0.6976 0.2908
0.8995 0.8995 0.0780
0.5000 0.5000 0.5000

=====

(3)
LiAsRh3 | Alexandria via LeMat-Bulk | PBE-GGA | relaxed; polymorph energy (0 for the lowest one) = 0.322 eV/atom; total moment = 0.00 μB per cell; ΔH_f (0 K) = 0.56 eV/atom
1.0
4.1533 0.0000 0.0000
0.0000 4.1533 0.0000
0.0000 0.0000 4.1533
Li As Rh
1 1 3
direct
0.0000 0.0000 0.0000
0.5000 0.5000 0.5000
0.0000 0.0000 0.5000
0.0000 0.5000 0.0000
0.5000 0.0000 0.0000

=====

(4)
LiHfBePt2 | Alexandria via LeMat-Bulk | PBE-GGA | relaxed; total moment = 0.00 μB per cell; ΔH_f (0 K) = -0.44 eV/atom
1.0
4.3471 0.0000 0.0000
0.0000 4.3471 0.0000
0.0000 0.0000 3.9946
Li Hf Be Pt
1 1 1 2
direct
0.0000 0.0000 0.0000
0.5000 0.5000 0.0000
0.0000 0.0000 0.5000
0.0000 0.5000 0.5000
0.5000 0.0000 0.5000

=====

(5)
YZn6Au3 | Alexandria via LeMat-Bulk | PBE-GGA | relaxed; total moment = 0.00 μB per cell; ΔH_f (0 K) = -0.27 eV/atom
1.0
8.7453 0.0000 0.0000
0.0000 3.9984 0.0000
-2.6292 0.0000 10.5395
Y Zn Au
2 12 6
direct
0.0109 0.2500 0.2392
0.9891 0.7500 0.7608
0.0965 0.7500 0.4676
0.2044 0.2500 0.6599
0.2179 0.2500 0.9325
0.3394 0.2500 0.2028
0.4117 0.7500 0.5953
0.4418 0.7500 0.0756
0.5582 0.2500 0.9244
0.5883 0.2500 0.4047
0.6606 0.7500 0.7972
0.7821 0.7500 0.0675
0.7956 0.7500 0.3401
0.9035 0.2500 0.5324
0.1259 0.7500 0.0746
0.3044 0.2500 0.4392
0.3538 0.7500 0.8217
0.6462 0.2500 0.1783
0.6956 0.7500 0.5608
0.8741 0.2500 0.9254

=====

(6)
PmYTeP | Alexandria via LeMat-Bulk | PBE-GGA | relaxed; total moment = 0.00 μB per cell; raw formation energy = -1.54 eV/atom
1.0
2.0655 1.1925 7.3653
-2.0655 1.1925 7.3653
0.0000 -2.3851 7.3653
Pm Y Te P
1 1 1 1
direct
0.0000 0.0000 0.0000
0.1936 0.1936 0.1936
0.4318 0.4318 0.4318
0.5961 0.5961 0.5961

=====

> Number 4 is which compound?

LiHfBePt2

=====

> Which formula does entry 2 have?

Y4Mg5Ag

=====

> The highest total moment belongs to which entry?

KH2F3

=====

> Number 2 is which compound?

Y4Mg5Ag